The following is a PBE calculation of a geometry-optimized BaCdGe2 structure, from Alexandria.

Energy of formation, eV/atom: -0.147
DOS(E_F), states/eV per cell: 9.779

```
data_BaCdGe2
_symmetry_space_group_name_H-M 'I -4 2 d'
_symmetry_Int_Tables_number 122
_symmetry_space_group_name_Hall 'I -4 2bw'
_cell_length_a 5.173
_cell_length_b 5.173
_cell_length_c 18.763
_cell_angle_alpha 90.00
_cell_angle_beta 90.00
_cell_angle_gamma 90.00
loop_
_atom_site_label
_atom_site_fract_x
_atom_site_fract_y
_atom_site_fract_z
Ba1 0.000 0.000 0.000
Cd1 0.000 0.000 0.500
Ge1 0.079 0.250 0.625
```